! PBE RbHfAg3Te4, relaxed; values from VASP
&SYSTEM
  ibrav = 0, nat = 18, ntyp = 4
/
ATOMIC_SPECIES
Te 127.60 Te.upf
Ag 107.87 Ag.upf
Hf 178.49 Hf.upf
Rb 85.47 Rb.upf
ATOMIC_POSITIONS crystal
Te 0.889 0.015 0.761
Te 0.276 0.750 0.577
Te 0.465 0.750 0.017
Te 0.535 0.250 0.983
Te 0.889 0.485 0.761
Te 0.111 0.985 0.239
Te 0.724 0.250 0.423
Te 0.111 0.515 0.239
Ag 0.211 0.472 0.997
Ag 0.635 0.750 0.789
Ag 0.789 0.528 0.003
Ag 0.789 0.972 0.003
Ag 0.211 0.028 0.997
Ag 0.365 0.250 0.211
Hf 0.137 0.750 0.786
Hf 0.863 0.250 0.214
Rb 0.682 0.750 0.389
Rb 0.318 0.250 0.611
CELL_PARAMETERS angstrom
6.614 0.000 0.000
0.000 8.565 0.000
-3.121 0.000 10.431
! Uncorrected energy (eV/cell): -73.5

---

! PBE NaZn4P3, relaxed; values from VASP
&SYSTEM
  ibrav = 0, nat = 8, ntyp = 3
/
ATOMIC_SPECIES
P 30.97 P.upf
Zn 65.41 Zn.upf
Na 22.99 Na.upf
ATOMIC_POSITIONS crystal
P 0.000 0.000 0.000
P 0.500 0.500 0.693
P 0.500 0.500 0.307
Zn 0.500 0.000 0.833
Zn 0.500 0.000 0.167
Zn 0.000 0.500 0.833
Zn 0.000 0.500 0.167
Na 0.000 0.000 0.500
CELL_PARAMETERS angstrom
4.000 0.000 0.000
0.000 4.000 0.000
0.000 0.000 9.626
! Uncorrected energy (eV/cell): -24.4

---

! PBE Sc2ZnAu, relaxed; values from VASP
&SYSTEM
  ibrav = 0, nat = 4, ntyp = 3
/
ATOMIC_SPECIES
Sc 44.96 Sc.upf
Au 196.97 Au.upf
Zn 65.41 Zn.upf
ATOMIC_POSITIONS crystal
Sc 0.000 0.500 0.500
Sc 0.500 0.000 0.500
Au 0.000 0.000 0.000
Zn 0.500 0.500 0.000
CELL_PARAMETERS angstrom
-3.877 2.720 -0.425
-2.750 -3.793 0.810
0.089 0.647 3.333
! Energy of formation from the pure elements (eV/atom): -0.612